A relaxed SrAc2NiO5 crystal, computed with PBE+U.

Structure (extended XYZ):
```
18
Lattice="-0.4011 4.3348 5.5748 5.1431 -3.6470 3.2059 1.6415 3.1681 -6.8324" Properties=species:S:1:pos:R:3 pbc="T T T"
Sr 2.0063 1.7560 -1.2210
Sr 4.3773 2.0999 3.1693
Ac 1.6073 -0.4354 2.0149
Ac 0.6241 2.2870 4.3145
Ac 4.1179 -1.5992 4.4662
Ac 3.1346 1.1231 6.7658
Ni 4.5778 -0.0675 0.3819
Ni 1.8057 3.9234 1.5664
O 2.5862 3.3704 5.2563
O 2.0398 4.6235 -0.2445
O 3.7973 0.4854 -3.3079
O 1.1399 3.2365 -3.7180
O 4.6972 1.8724 0.1655
O 5.2436 0.6193 5.6663
O 1.6863 1.9834 1.7828
O 4.3437 -0.7677 2.1929
O 2.3710 0.3439 4.3903
O 0.0000 0.0000 0.0000
```

Properties
- Symmetry: I4/mcm, No. 140
- Electronic total energy: -6.720 eV per atom